DFT (PBE) results for a geometry-optimized Ac2Ge5Au3 structure.

Lattice parameters (Å, degrees): 9.0107 9.0107 9.0107 109.78 86.07 136.90
Atoms (fractional coordinates):
Ac1 0.1218 0.2464 0.3682
Ac2 0.3782 0.7464 0.1246
Ac3 0.6218 0.2536 0.8754
Ac4 0.8782 0.7536 0.6318
Ge1 0.0059 0.7500 0.2559
Ge2 0.1221 0.6305 0.7526
Ge3 0.2500 0.2500 0.0000
Ge4 0.3779 0.1305 0.5084
Ge5 0.4941 0.7500 0.7441
Ge6 0.5059 0.2500 0.2559
Ge7 0.6221 0.8695 0.4916
Ge8 0.7500 0.7500 0.0000
Ge9 0.8779 0.3695 0.2474
Ge10 0.9941 0.2500 0.7441
Au1 0.1302 0.8770 0.0072
Au2 0.2500 0.7500 0.5000
Au3 0.3698 0.3770 0.7468
Au4 0.6302 0.6230 0.2532
Au5 0.7500 0.2500 0.5000
Au6 0.8698 0.1230 0.9928

Output
**Calculated volume**: 22.59 Å³/atom
**M_tot**: 0.00 μB/cell
**Calculated total energy**: -4.650 eV/atom
**Formation enthalpy at 0 K**: -537 meV per atom
**Symmetry**: Ibam